Entry 1:
A plane-wave DFT calculation with PBE-GGA was carried out for a relaxed structure of NdSm3In4.

Lattice parameters (Å, degrees): 3.527 7.266 10.349 110.54 99.81 90.00
Sites, in units of the cell vectors:
Sm 0.218 0.218 0.437
Sm 0.782 0.782 0.563
Sm 0.000 0.500 0.000
Nd 0.500 0.000 0.000
In 0.628 0.419 0.255
In 0.628 0.836 0.255
In 0.372 0.581 0.745
In 0.372 0.164 0.745

As for the space group: No. 71. The calculation puts the density at 7.2 g cm⁻³.

=====

Entry 2:
A plane-wave DFT calculation with PBE-GGA was carried out for a relaxed structure of Nd3SmIn2.

Lattice parameters (Å, degrees): 5.040 9.285 9.436 119.48 105.49 90.00
Sites, in units of the cell vectors:
In 0.657 0.658 0.315
In 0.343 0.342 0.685
In 0.657 0.157 0.315
In 0.343 0.843 0.685
Nd 0.173 0.423 0.347
Nd 0.827 0.577 0.653
Nd 0.173 0.923 0.347
Nd 0.827 0.077 0.653
Nd 0.500 0.250 0.000
Nd 0.500 0.750 0.000
Sm 0.000 0.000 0.000
Sm 0.000 0.500 0.000

As for the space group: No. 65. The calculation puts the density at 7.4 g cm⁻³.

=====

Entry 3:
A plane-wave DFT calculation with PBE-GGA was carried out for a relaxed structure of NdSm3In4.

Lattice parameters (Å, degrees): 3.842 3.842 15.378 90.00 90.00 90.00
Sites, in units of the cell vectors:
Nd 0.500 0.500 0.000
In 0.000 0.000 0.128
In 0.000 0.000 0.624
In 0.000 0.000 0.376
In 0.000 0.000 0.872
Sm 0.500 0.500 0.500
Sm 0.500 0.500 0.252
Sm 0.500 0.500 0.748

As for the space group: No. 123. The calculation puts the density at 7.7 g cm⁻³.

=====

Entry 4:
A plane-wave DFT calculation with PBE-GGA was carried out for a relaxed structure of Nd5Sm4In.

Lattice parameters (Å, degrees): 6.075 8.161 8.161 82.04 68.15 68.15
Sites, in units of the cell vectors:
In 0.191 0.000 0.000
Sm 0.459 0.314 0.686
Sm 0.773 0.686 0.686
Sm 0.459 0.686 0.314
Sm 0.146 0.314 0.314
Nd 0.140 0.625 0.000
Nd 0.140 0.000 0.625
Nd 0.670 0.000 0.000
Nd 0.766 0.000 0.375
Nd 0.766 0.375 0.000

As for the space group: No. 107. The calculation puts the density at 6.8 g cm⁻³.

=====

ΔE_f list, top to bottom, in eV per atom: -0.321; -0.302; -0.493; 0.105
DOS at the Fermi energy list, top to bottom, in states/eV/f.u.: 7.5; 7.2; 4.9; 13.7
Total DFT energy (no corrections) list, top to bottom, in eV per formula unit: -32.45; -26.31; -33.82; -44.40